(1)
The following is a PBE-GGA calculation of a relaxed structure of Zr2NbFe, from Alexandria.

Cell lengths 7.3727, 7.3727, 5.9287 Å; angles 51.55, 51.55, 90.00 degrees
Last column: nearest neighbours and their distance in Å.
Fractional positions:
Fe: 0.5000 0.5000 0.0000  4 Zr 2.49
Fe: 0.2500 0.7500 0.5000  4 Zr 2.49
Zr: 0.5813 0.1250 0.2500  2 Fe 2.49
Zr: 0.1687 0.6250 0.2500  2 Fe 2.49
Zr: 0.3750 0.4187 0.7500  2 Fe 2.49
Zr: 0.8750 0.8313 0.7500  2 Fe 2.49
Nb: 0.7500 0.2500 0.5000  2 Fe 2.82, 4 Zr 2.93
Nb: 0.0000 0.0000 0.0000  2 Fe 2.82, 4 Zr 2.93

Computed properties:
spin magnetization = 0.0 μB/f.u.
symmetry = I-42d
distance to the lowest polymorph of the same formula = 388 meV/atom
energy = -8.534 eV/atom

(2)
The following is a PBE-GGA calculation of a relaxed structure of LiCu2PO4, from Alexandria.

Cell lengths 6.2748, 5.2311, 5.3900 Å; angles 90.44, 90.00, 90.00 degrees
Last column: nearest neighbours and their distance in Å.
Fractional positions:
P: 0.5000 0.4918 0.1557  4 O 1.54-1.57
P: 0.0000 0.0031 0.8367  4 O 1.55-1.58
Cu: 0.5000 0.0248 0.7557  2 O 1.99
Cu: 0.2840 0.9881 0.3527  4 O 2.08-2.25
Cu: 0.7160 0.9881 0.3527  4 O 2.08-2.25
Cu: 0.0000 0.5344 0.2226  2 O 1.95
O: 0.2999 0.5824 0.3090  1 P 1.57
O: 0.0000 0.7094 0.7993  1 P 1.55
O: 0.1977 0.1278 0.7037  1 P 1.58
O: 0.8023 0.1278 0.7037  1 P 1.58
O: 0.5000 0.6005 0.8902  1 P 1.54
O: 0.0000 0.0816 0.1144  1 P 1.55
O: 0.7001 0.5824 0.3090  1 P 1.57
O: 0.5000 0.1945 0.1396  1 P 1.56
Li: 0.2474 0.5103 0.6774  4 O 1.98-2.05
Li: 0.7526 0.5103 0.6774  4 O 1.98-2.05

Computed properties:
raw formation energy = -1.502 eV/atom
spin magnetization = 0.0 μB/f.u.
symmetry = Pm
distance to the lowest polymorph of the same formula = 17 meV/atom
energy = -5.921 eV/atom

(3)
The following is a PBE-GGA calculation of a relaxed structure of NaLiHo2, from Alexandria.

Cell lengths 3.3634, 3.3634, 12.3325 Å; angles 82.16, 82.16, 60.00 degrees
Last column: nearest neighbours and their distance in Å.
Fractional positions:
Li: 0.5000 0.5000 0.5000  6 Ho 3.28, 6 Li 3.36
Na: 0.0000 0.0000 0.0000  6 Na 3.36, 2 Ho 3.44
Ho: 0.0942 0.0942 0.7175  3 Li 3.28, 6 Ho 3.36, 1 Na 3.44
Ho: 0.9058 0.9058 0.2825  3 Li 3.28, 6 Ho 3.36, 1 Na 3.44

Computed properties:
spin magnetization = 0.0 μB/f.u.
symmetry = R-3m
energy = -2.816 eV/atom

(4)
The following is a PBE-GGA calculation of a relaxed structure of Li2TcSe, from Alexandria.

Cell lengths 2.9441, 2.9441, 8.8732 Å; angles 90.00, 90.00, 115.54 degrees
Last column: nearest neighbours and their distance in Å.
Fractional positions:
Tc: 0.5000 0.5000 0.7278  2 Se 2.45, 2 Li 2.75
Li: 0.5000 0.5000 0.2751  2 Se 2.65, 4 Li 2.94
Li: 0.0000 0.0000 0.9816  2 Tc 2.75, 6 Li 2.94-3.04
Se: 0.0000 0.0000 0.5155  2 Tc 2.45, 2 Li 2.65

Computed properties:
raw formation energy = 0.192 eV/atom
spin magnetization = 0.0 μB/f.u.
symmetry = Cmm2
energy = -4.228 eV/atom

(5)
The following is a PBE-GGA calculation of a relaxed structure of TiAu3, from Alexandria.

Cell lengths 3.8545, 3.8545, 5.9973 Å; angles 108.74, 108.74, 90.00 degrees
Last column: nearest neighbours and their distance in Å.
Fractional positions:
Au: 0.5000 0.5000 0.0000  4 Ti 2.73, 2 Au 2.73
Au: 0.7554 0.7554 0.5108  1 Ti 2.61, 5 Au 2.73
Au: 0.2446 0.2446 0.4892  1 Ti 2.61, 5 Au 2.73
Ti: 0.0000 0.0000 0.0000  6 Au 2.61-2.73

Computed properties:
spin magnetization = 0.4 μB/f.u.
symmetry = I4/mmm
energy = -4.270 eV/atom

(6)
The following is a PBE-GGA calculation of a relaxed structure of NaSbC3, from Alexandria.

Cell lengths 4.3412, 4.3412, 4.3412 Å; angles 90.00, 90.00, 90.00 degrees
Last column: nearest neighbours and their distance in Å.
Fractional positions:
Na: 0.0000 0.0000 0.0000  6 C 2.17
C: 0.5000 0.0000 0.0000  2 Na 2.17
C: 0.0000 0.5000 0.0000  2 Na 2.17
C: 0.0000 0.0000 0.5000  2 Na 2.17
Sb: 0.5000 0.5000 0.5000  12 C 3.07

Computed properties:
raw formation energy = 3.446 eV/atom
spin magnetization = 0.0 μB/f.u.
symmetry = Pm-3m
distance to the lowest polymorph of the same formula = 901 meV/atom
energy = -3.176 eV/atom

(7)
The following is a PBE-GGA calculation of a relaxed structure of SrCuTe2, from Alexandria.

Cell lengths 4.1201, 4.1201, 6.6081 Å; angles 90.00, 90.00, 90.00 degrees
Last column: nearest neighbours and their distance in Å.
Fractional positions:
Te: 0.0000 0.0000 0.0150  1 Te 3.11, 4 Cu 3.30, 4 Sr 3.40
Te: 0.0000 0.0000 0.4850  1 Te 3.11, 4 Cu 3.30, 4 Sr 3.40
Sr: 0.5000 0.5000 0.7500  2 Cu 3.30, 8 Te 3.40
Cu: 0.5000 0.5000 0.2500  8 Te 3.30, 2 Sr 3.30

Computed properties:
raw formation energy = -0.383 eV/atom
spin magnetization = 0.0 μB/f.u.
symmetry = P4/mmm
energy = -3.399 eV/atom

(8)
The following is a PBE-GGA calculation of a relaxed structure of H6PtBr, from Alexandria.

Cell lengths 13.9784, 5.1239, 5.1240 Å; angles 109.30, 39.08, 140.92 degrees
Last column: nearest neighbours and their distance in Å.
Fractional positions:
H: 0.6749 0.3658 0.0301  1 H 1.26
H: 0.6749 0.9699 0.6342  1 H 1.26
H: 0.7400 0.2289 0.7711  2 H 1.26
H: 0.3251 0.0301 0.3658  1 H 1.26
H: 0.2600 0.7711 0.2289  2 H 1.26
H: 0.3251 0.6342 0.9699  1 H 1.26
Pt: 0.5000 0.0000 0.0000  6 H 1.64-1.67
Br: 0.0000 0.0000 0.0000  2 Pt 2.74, 4 H 2.75

Computed properties:
spin magnetization = 0.4 μB/f.u.
symmetry = C2/m
energy = -3.320 eV/atom